The following is a DFT calculation (PBE-GGA) of SbBr4 after structural relaxation.

a = 5.5915 Å, b = 5.5915 Å, c = 5.5915 Å
α = 90.00°, β = 90.00°, γ = 90.00°
With the nearest neighbours (Å) after each atom.
Atoms (fractional coordinates):
Sb 0.5000 0.5000 0.5000  6 Br 2.80
Br 0.0000 0.0000 0.0000  12 Br 3.95
Br 0.5000 0.0000 0.5000  2 Sb 2.80
Br 0.0000 0.5000 0.5000  2 Sb 2.80
Br 0.5000 0.5000 0.0000  2 Sb 2.80

Its energy relative to the elements, uncorrected is -0.136 eV/atom. Its energy above the most stable polymorph in this dataset is 251.4 meV per atom. For the total magnetic moment, the calculation gives 1.0 μB/f.u. As for the symmetry: Pm-3m (221). The total energy is -2.299 eV/atom.